1.
# TlMoRh3

Crystalline TlMoRh3 at its relaxed geometry (GGA-PBE, Alexandria).

## Properties
Magnetic moment ... 0.11 μB per formula unit
Calculated volume ... 113.07 Å³/cell
Mass density ... 8.94 g cm⁻³
Energy of formation from the pure elements ... 10.65 eV per formula unit
Energy relative to the lowest polymorph listed for this composition ... 1.216 eV per atom

Unit cell a=4.8356 b=4.8356 c=4.8356 alpha=90.00 beta=90.00 gamma=90.00
With the nearest neighbours (Å) after each atom.
Space group Pm-3m (No. 221)
Asymmetric unit:
Tl (0.0000, 0.0000, 0.0000) (multiplicity 1)  6 Rh 2.42
Mo (0.5000, 0.5000, 0.5000) (multiplicity 1)  12 Rh 3.42
Rh (0.0000, 0.0000, 0.5000) (multiplicity 3)  2 Tl 2.42


2.
# PmZn3Rh2

Crystalline PmZn3Rh2 at its relaxed geometry (GGA-PBE, Alexandria).

## Properties
Magnetic moment ... 0.00 μB per formula unit
Calculated volume ... 632.57 Å³/cell
Mass density ... 8.62 g cm⁻³
Energy of formation from the pure elements ... -1.68 eV per formula unit
Energy relative to the lowest polymorph listed for this composition ... 0.305 eV per atom

Unit cell a=6.1064 b=6.1064 c=19.5890 alpha=90.00 beta=90.00 gamma=120.00
With the nearest neighbours (Å) after each atom.
Space group R-3m (No. 166, hexagonal axes)
Asymmetric unit:
Pm (0.0000, 0.0000, 0.2243) (multiplicity 6)  3 Rh 2.77, 9 Zn 3.06-3.07
Zn (0.0186, 0.5093, 0.2336) (multiplicity 18)  3 Rh 2.60-2.70, 2 Zn 2.88
Rh (0.0000, 0.0000, 0.0000) (multiplicity 3)  6 Zn 2.70
Rh (0.0000, 0.5000, 0.0000) (multiplicity 9)  4 Zn 2.60, 2 Pm 2.77


What is the mass density in the first record?
8.94 g cm⁻³